Cu2TcRu | Alexandria via LeMat-Bulk | PBEsol | optimized geometry; ΔE_f = 1.162 eV/f.u.; relative energy among the computed polymorphs = 124 meV/atom
1.0
2.619 0.000 0.000
0.000 4.489 0.003
0.000 -1.484 4.320
Cu Ru Tc
2 1 1
direct
0.000 0.000 0.000
0.500 0.500 0.000
0.500 0.000 0.500
0.000 0.500 0.500